The following is a PBE with a Hubbard U calculation of a geometry-optimized CrPO5 structure, from the Alexandria database.

```
28
Lattice="6.092 0.000 0.000 0.000 7.254 0.000 0.000 0.000 8.169" Properties=species:S:1:pos:R:3 pbc="T T T"
Cr 4.569 2.198 6.595
Cr 1.523 5.825 5.658
Cr 4.569 1.429 2.511
Cr 1.523 5.056 1.574
P 4.569 4.331 1.008
P 1.523 0.704 3.077
P 4.569 6.551 5.092
P 1.523 2.924 7.161
O 2.738 1.967 7.015
O 0.308 1.967 7.015
O 3.354 5.288 1.154
O 5.785 5.288 1.154
O 2.738 1.660 2.930
O 3.354 5.594 5.239
O 5.785 5.594 5.239
O 0.308 1.660 2.930
O 1.523 6.451 7.103
O 4.569 0.804 1.066
O 1.523 4.431 3.019
O 4.569 2.824 5.150
O 1.523 6.911 1.946
O 4.569 3.284 2.138
O 4.569 0.343 6.223
O 1.523 3.971 6.031
O 1.523 0.053 4.474
O 1.523 3.574 0.389
O 4.569 7.201 3.695
O 4.569 3.680 7.780
```

Properties
The total energy is -7.0797 eV per atom.